# NdHoCo2

A geometry-optimized NdHoCo2 structure (PBE-GGA, the Alexandria database).

It has space group Fm-3m (No. 225), with a = 6.7888 Å, b = 6.7888 Å, c = 6.7888 Å, α = 90.00°, β = 90.00° and γ = 90.00°. Symmetry generates all atoms from Nd at (0.0000, 0.0000, 0.0000), Ho at (0.0000, 0.0000, 0.5000) and Co at (0.2500, 0.2500, 0.2500).

For the density of states at the Fermi level, the calculation gives 1.16 states/eV/f.u. The value obtained for the formation energy is -44 meV per atom. The crystal system is cubic. The total energy comes out at -94.9 eV for the cell shown. The value obtained for the calculated volume is 19.6 Å³ per atom. The calculation puts the total magnetization at 0.7 μB/f.u.

# NdHo4Co

A geometry-optimized NdHo4Co structure (PBE-GGA, the Alexandria database).

It has space group P4/mmm (No. 123), with a = 4.6358 Å, b = 4.6358 Å, c = 8.9566 Å, α = 90.00°, β = 90.00° and γ = 90.00°. Symmetry generates all atoms from Nd at (0.0000, 0.0000, 0.0000), Ho at (0.0000, 0.5000, 0.3221) and Co at (0.5000, 0.5000, 0.5000).

For the density of states at the Fermi level, the calculation gives 6.73 states/eV/f.u. The value obtained for the formation energy is 249 meV per atom. The crystal system is tetragonal. The total energy comes out at -28.7 eV for the cell shown. The value obtained for the calculated volume is 32.1 Å³ per atom. The calculation puts the total magnetization at 0.1 μB/f.u.